Here is a relaxed structure of Tb4Pm5 from Alexandria. Energies are from PBE.

```
9
Lattice="-3.4368 -3.3328 1.7544 -0.1432 -6.3745 -4.9575 3.7106 -5.0641 5.0811" Properties=species:S:1:pos:R:3 pbc="T T T"
Tb -1.1021 -6.0346 1.2104
Pm -0.1387 -6.3729 -4.9458
Pm -1.1847 -3.2466 -1.0696
Pm 0.0307 -11.9615 -0.3986
Tb -0.0520 -9.1735 -2.6786
Tb -2.3864 -6.4713 -2.1352
Pm 1.1414 -5.9377 -1.6113
Tb 1.2324 -8.7368 0.6670
Pm 2.4215 -5.5024 1.7232
```

Summary:
* calculated volume: 33.250 A^3/atom
* formation enthalpy at 0 K: 0.131 eV per formula unit
* magnetization: 0.00 μB per formula unit